# 1
Density functional theory data (PBE-GGA) for RbZrCd2H after structural relaxation.

Calculated values
**Total energy**: -1.836 eV/atom

abc: 5.9531 5.9531 3.8635
angles: 90.00 90.00 90.00
With the nearest neighbours (Å) after each atom.
Element x y z (fractional)
Rb  0.0000  0.0000  0.0000  2 H 1.93
Zr  0.5000  0.5000  0.5000  8 Cd 3.55, 2 Zr 3.86
Cd  0.0000  0.5000  0.0000  2 Rb 2.98
Cd  0.5000  0.0000  0.0000  2 Rb 2.98
H  0.0000  0.0000  0.5000  2 Rb 1.93


# 2
Density functional theory data (PBE-GGA) for Pr5Ge2Bi2 after structural relaxation.

Calculated values
**Formation energy**: -852 meV/atom

abc: 9.0371 9.0371 8.3524
angles: 90.00 90.00 54.88
With the nearest neighbours (Å) after each atom.
Element x y z (fractional)
Pr  0.0000  0.0000  0.0000  4 Ge 3.24-3.26, 2 Bi 3.31
Pr  0.0414  0.7061  0.6661  3 Ge 3.10-3.24, 3 Bi 3.33-3.37
Pr  0.2061  0.5414  0.1661  3 Ge 3.10-3.24, 3 Bi 3.33-3.37
Pr  0.2939  0.9586  0.6661  3 Ge 3.10-3.24, 3 Bi 3.33-3.37
Pr  0.4586  0.7939  0.1661  3 Ge 3.10-3.24, 3 Bi 3.33-3.37
Pr  0.5000  0.5000  0.5000  4 Ge 3.24-3.26, 2 Bi 3.31
Pr  0.5414  0.2061  0.8339  3 Ge 3.10-3.24, 3 Bi 3.33-3.37
Pr  0.7061  0.0414  0.3339  3 Ge 3.10-3.24, 3 Bi 3.33-3.37
Pr  0.7939  0.4586  0.8339  3 Ge 3.10-3.24, 3 Bi 3.33-3.37
Pr  0.9586  0.2939  0.3339  3 Ge 3.10-3.24, 3 Bi 3.33-3.37
Ge  0.1343  0.8657  0.3660  8 Pr 3.10-3.26, 1 Ge 3.17
Ge  0.3657  0.6343  0.8660  8 Pr 3.10-3.26, 1 Ge 3.17
Ge  0.6343  0.3657  0.1340  8 Pr 3.10-3.26, 1 Ge 3.17
Ge  0.8657  0.1343  0.6340  8 Pr 3.10-3.26, 1 Ge 3.17
Bi  0.2067  0.2067  0.0000  7 Pr 3.31-3.37
Bi  0.2933  0.2933  0.5000  7 Pr 3.31-3.37
Bi  0.7067  0.7067  0.5000  7 Pr 3.31-3.37
Bi  0.7933  0.7933  0.0000  7 Pr 3.31-3.37


# 3
Density functional theory data (PBE-GGA) for Pm2Er8Tm3 after structural relaxation.

Calculated values
**Formation energy**: 243 meV/atom

abc: 10.9689 10.9689 5.4845
angles: 90.00 90.00 139.90
With the nearest neighbours (Å) after each atom.
Element x y z (fractional)
Pm  0.2407  0.7593  0.0000  8 Er 3.41-3.59, 2 Pm 3.78
Pm  0.7593  0.2407  0.0000  8 Er 3.41-3.59, 2 Pm 3.78
Er  0.1286  0.8714  0.5000  4 Tm 3.41-3.81, 4 Er 3.51, 2 Pm 3.59
Er  0.1792  0.3926  0.0000  1 Tm 3.08, 3 Er 3.22-3.37
Er  0.3391  0.6609  0.5000  4 Er 3.37, 2 Pm 3.41, 2 Tm 3.69
Er  0.3926  0.1792  0.0000  1 Tm 3.08, 3 Er 3.22-3.37
Er  0.6074  0.8208  0.0000  1 Tm 3.08, 3 Er 3.22-3.37
Er  0.6609  0.3391  0.5000  4 Er 3.37, 2 Pm 3.41, 2 Tm 3.69
Er  0.8208  0.6074  0.0000  1 Tm 3.08, 3 Er 3.22-3.37
Er  0.8714  0.1286  0.5000  4 Tm 3.41-3.81, 4 Er 3.51, 2 Pm 3.59
Tm  0.0000  0.0000  0.0000  4 Er 3.08
Tm  0.2843  0.2843  0.5000  3 Tm 3.25-3.48, 6 Er 3.41-3.51
Tm  0.7157  0.7157  0.5000  3 Tm 3.25-3.48, 6 Er 3.41-3.51


# 4
Density functional theory data (PBE-GGA) for AcSm6Ho8 after structural relaxation.

Calculated values
**E above lowest polymorph**: 1.11 eV per formula unit
**Formation energy**: 246 meV/atom

abc: 8.5849 8.5849 8.5849
angles: 67.87 67.87 67.87
With the nearest neighbours (Å) after each atom.
Element x y z (fractional)
Ac  0.0000  0.0000  0.0000  6 Ho 3.61, 6 Sm 3.82
Sm  0.1196  0.6407  0.3981  1 Sm 3.31, 5 Ho 3.34-3.66
Sm  0.3593  0.6019  0.8804  1 Sm 3.31, 5 Ho 3.34-3.66
Sm  0.3981  0.1196  0.6407  1 Sm 3.31, 5 Ho 3.34-3.66
Sm  0.6019  0.8804  0.3593  1 Sm 3.31, 5 Ho 3.34-3.66
Sm  0.6407  0.3981  0.1196  1 Sm 3.31, 5 Ho 3.34-3.66
Sm  0.8804  0.3593  0.6019  1 Sm 3.31, 5 Ho 3.34-3.66
Ho  0.0960  0.4166  0.8407  3 Ho 3.17-3.54, 4 Sm 3.34-3.52
Ho  0.1593  0.9040  0.5834  3 Ho 3.17-3.54, 4 Sm 3.34-3.52
Ho  0.2296  0.2296  0.2296  6 Ho 3.30-3.54, 3 Sm 3.66
Ho  0.4166  0.8407  0.0960  3 Ho 3.17-3.54, 4 Sm 3.34-3.52
Ho  0.5834  0.1593  0.9040  3 Ho 3.17-3.54, 4 Sm 3.34-3.52
Ho  0.7704  0.7704  0.7704  6 Ho 3.30-3.54, 3 Sm 3.66
Ho  0.8407  0.0960  0.4166  3 Ho 3.17-3.54, 4 Sm 3.34-3.52
Ho  0.9040  0.5834  0.1593  3 Ho 3.17-3.54, 4 Sm 3.34-3.52


# 5
Density functional theory data (PBE-GGA) for Dy2In3Ga3 after structural relaxation.

Calculated values
**Formation energy**: -453 meV/atom

abc: 4.3662 4.4640 9.1598
angles: 90.00 90.00 90.00
With the nearest neighbours (Å) after each atom.
Element x y z (fractional)
Dy  0.0000  0.0000  0.2422  6 Ga 3.11-3.12, 6 In 3.15-3.25
Dy  0.0000  0.0000  0.7578  6 Ga 3.11-3.12, 6 In 3.15-3.25
In  0.0000  0.5000  0.0000  8 Ga 3.11-3.12, 4 Dy 3.15
In  0.0000  0.5000  0.5000  4 In 3.12, 4 Ga 3.22, 4 Dy 3.25
In  0.5000  0.0000  0.5000  4 In 3.12, 4 Dy 3.22, 4 Ga 3.25
Ga  0.5000  0.0000  0.0000  4 Dy 3.11, 4 In 3.12, 4 Ga 3.15
Ga  0.5000  0.5000  0.2419  6 In 3.11-3.25, 4 Dy 3.12, 2 Ga 3.15
Ga  0.5000  0.5000  0.7581  6 In 3.11-3.25, 4 Dy 3.12, 2 Ga 3.15


# 6
Density functional theory data (PBE-GGA) for LiHfBi2 after structural relaxation.

Calculated values
**E above lowest polymorph**: 0.87 eV per formula unit
**Formation energy**: 27 meV/atom

abc: 7.8322 7.8322 6.8064
angles: 90.00 90.00 90.00
With the nearest neighbours (Å) after each atom.
Element x y z (fractional)
Li  0.0000  0.0000  0.0000  4 Bi 2.83
Li  0.0000  0.5000  0.2500  4 Bi 2.83
Li  0.5000  0.0000  0.7500  4 Bi 2.83
Li  0.5000  0.5000  0.5000  4 Bi 2.83
Hf  0.0000  0.0000  0.5000  4 Bi 2.96
Hf  0.0000  0.5000  0.7500  4 Bi 2.96
Hf  0.5000  0.0000  0.2500  4 Bi 2.96
Hf  0.5000  0.5000  0.0000  4 Bi 2.96
Bi  0.2374  0.2500  0.1250  2 Li 2.83, 2 Hf 2.96
Bi  0.2500  0.7374  0.3750  2 Li 2.83, 2 Hf 2.96
Bi  0.2500  0.7626  0.8750  2 Li 2.83, 2 Hf 2.96
Bi  0.2626  0.2500  0.6250  2 Li 2.83, 2 Hf 2.96
Bi  0.7374  0.7500  0.6250  2 Li 2.83, 2 Hf 2.96
Bi  0.7500  0.2374  0.8750  2 Li 2.83, 2 Hf 2.96
Bi  0.7500  0.2626  0.3750  2 Li 2.83, 2 Hf 2.96
Bi  0.7626  0.7500  0.1250  2 Li 2.83, 2 Hf 2.96


# 7
Density functional theory data (PBE-GGA) for Pr2Cd2InPt5 after structural relaxation.

Calculated values
**Formation energy**: -558 meV/atom

abc: 10.3489 10.3489 3.8789
angles: 90.00 90.00 90.00
With the nearest neighbours (Å) after each atom.
Element x y z (fractional)
Pr  0.1709  0.3291  0.0000  3 Cd 2.93-3.13, 6 Pt 3.17-3.21
Pr  0.3291  0.8291  0.0000  3 Cd 2.93-3.13, 6 Pt 3.17-3.21
Pr  0.6709  0.1709  0.0000  3 Cd 2.93-3.13, 6 Pt 3.17-3.21
Pr  0.8291  0.6709  0.0000  3 Cd 2.93-3.13, 6 Pt 3.17-3.21
Cd  0.1288  0.6288  0.0000  6 Pt 2.70-2.78, 1 Pr 2.93
Cd  0.3712  0.1288  0.0000  6 Pt 2.70-2.78, 1 Pr 2.93
Cd  0.6288  0.8712  0.0000  6 Pt 2.70-2.78, 1 Pr 2.93
Cd  0.8712  0.3712  0.0000  6 Pt 2.70-2.78, 1 Pr 2.93
In  0.0000  0.0000  0.0000  8 Pt 2.87
In  0.5000  0.5000  0.0000  8 Pt 2.87
Pt  0.0000  0.5000  0.5000  4 Cd 2.70
Pt  0.0393  0.7998  0.5000  2 Cd 2.78, 2 In 2.87, 2 Pt 2.99
Pt  0.2002  0.0393  0.5000  2 Cd 2.78, 2 In 2.87, 2 Pt 2.99
Pt  0.2998  0.5393  0.5000  2 Cd 2.78, 2 In 2.87, 2 Pt 2.99
Pt  0.4607  0.2998  0.5000  2 Cd 2.78, 2 In 2.87, 2 Pt 2.99
Pt  0.5000  0.0000  0.5000  4 Cd 2.70
Pt  0.5393  0.7002  0.5000  2 Cd 2.78, 2 In 2.87, 2 Pt 2.99
Pt  0.7002  0.4607  0.5000  2 Cd 2.78, 2 In 2.87, 2 Pt 2.99
Pt  0.7998  0.9607  0.5000  2 Cd 2.78, 2 In 2.87, 2 Pt 2.99
Pt  0.9607  0.2002  0.5000  2 Cd 2.78, 2 In 2.87, 2 Pt 2.99


# 8
Density functional theory data (PBE-GGA) for Tm3Ni3Ge after structural relaxation.

Calculated values
**Formation energy**: -602 meV/atom

abc: 5.2316 5.2316 13.2399
angles: 90.00 90.00 135.00
With the nearest neighbours (Å) after each atom.
Element x y z (fractional)
Tm  0.0016  0.9984  0.7500  7 Ni 2.81-3.01
Tm  0.2848  0.7152  0.6040  6 Ni 2.82-2.89, 1 Ge 3.08
Tm  0.2848  0.7152  0.8960  6 Ni 2.82-2.89, 1 Ge 3.08
Tm  0.7152  0.2848  0.1040  6 Ni 2.82-2.89, 1 Ge 3.08
Tm  0.7152  0.2848  0.3960  6 Ni 2.82-2.89, 1 Ge 3.08
Tm  0.9984  0.0016  0.2500  7 Ni 2.81-3.01
Ni  0.2944  0.7056  0.2500  2 Ni 2.47
Ni  0.4239  0.5761  0.0888  2 Ge 2.44, 1 Ni 2.47
Ni  0.4239  0.5761  0.4112  2 Ge 2.44, 1 Ni 2.47
Ni  0.5761  0.4239  0.5888  2 Ge 2.44, 1 Ni 2.47
Ni  0.5761  0.4239  0.9112  2 Ge 2.44, 1 Ni 2.47
Ni  0.7056  0.2944  0.7500  2 Ni 2.47
Ge  0.0000  0.0000  0.0000  4 Ni 2.44
Ge  0.0000  0.0000  0.5000  4 Ni 2.44


# 9
Density functional theory data (PBE-GGA) for NaZr2VMo after structural relaxation.

Calculated values
**Formation energy**: 878 meV/atom

abc: 5.1410 5.1410 4.7493
angles: 90.00 90.00 90.00
With the nearest neighbours (Å) after each atom.
Element x y z (fractional)
Na  0.0000  0.0000  0.0000  8 Zr 3.50, 4 V 3.64
Zr  0.0000  0.5000  0.5000  2 Mo 2.57
Zr  0.5000  0.0000  0.5000  2 Mo 2.57
V  0.5000  0.5000  0.0000  2 Mo 2.37
Mo  0.5000  0.5000  0.5000  2 V 2.37, 4 Zr 2.57


# 10
Density functional theory data (PBE-GGA) for PrThZn2 after structural relaxation.

Calculated values
**E above lowest polymorph**: 0.09 eV per formula unit
**Formation energy**: -214 meV/atom

abc: 7.3721 7.3721 7.3721
angles: 90.00 90.00 90.00
With the nearest neighbours (Å) after each atom.
Element x y z (fractional)
Pr  0.0000  0.0000  0.0000  8 Zn 3.19
Pr  0.0000  0.5000  0.5000  8 Zn 3.19
Pr  0.5000  0.0000  0.5000  8 Zn 3.19
Pr  0.5000  0.5000  0.0000  8 Zn 3.19
Th  0.0000  0.0000  0.5000  8 Zn 3.19
Th  0.0000  0.5000  0.0000  8 Zn 3.19
Th  0.5000  0.0000  0.0000  8 Zn 3.19
Th  0.5000  0.5000  0.5000  8 Zn 3.19
Zn  0.2500  0.2500  0.2500  4 Pr 3.19, 4 Th 3.19
Zn  0.2500  0.2500  0.7500  4 Th 3.19, 4 Pr 3.19
Zn  0.2500  0.7500  0.2500  4 Th 3.19, 4 Pr 3.19
Zn  0.2500  0.7500  0.7500  4 Pr 3.19, 4 Th 3.19
Zn  0.7500  0.2500  0.2500  4 Th 3.19, 4 Pr 3.19
Zn  0.7500  0.2500  0.7500  4 Pr 3.19, 4 Th 3.19
Zn  0.7500  0.7500  0.2500  4 Pr 3.19, 4 Th 3.19
Zn  0.7500  0.7500  0.7500  4 Th 3.19, 4 Pr 3.19


# 11
Density functional theory data (PBE-GGA) for MgSnNO2 after structural relaxation.

Calculated values
**E_form (uncorrected)**: -0.486 eV/atom

abc: 4.0624 4.0624 4.1207
angles: 90.00 90.00 90.00
With the nearest neighbours (Å) after each atom.
Element x y z (fractional)
Mg  0.0000  0.0000  0.0000  4 N 2.87, 8 O 2.89
Sn  0.5000  0.5000  0.5000  4 O 2.03, 2 N 2.06
N  0.5000  0.5000  0.0000  2 Sn 2.06
O  0.0000  0.5000  0.5000  2 Sn 2.03
O  0.5000  0.0000  0.5000  2 Sn 2.03


# 12
Density functional theory data (PBE-GGA) for ZnRuBr2 after structural relaxation.

Calculated values
**E above lowest polymorph**: 2.61 eV per formula unit
**E_form (uncorrected)**: 0.604 eV/atom

abc: 6.8371 6.8371 6.8371
angles: 90.00 90.00 90.00
With the nearest neighbours (Å) after each atom.
Element x y z (fractional)
Zn  0.0000  0.0000  0.0000  8 Br 2.96
Zn  0.0000  0.5000  0.5000  8 Br 2.96
Zn  0.5000  0.0000  0.5000  8 Br 2.96
Zn  0.5000  0.5000  0.0000  8 Br 2.96
Ru  0.0000  0.0000  0.5000  8 Br 2.96
Ru  0.0000  0.5000  0.0000  8 Br 2.96
Ru  0.5000  0.0000  0.0000  8 Br 2.96
Ru  0.5000  0.5000  0.5000  8 Br 2.96
Br  0.2500  0.2500  0.2500  4 Ru 2.96, 4 Zn 2.96
Br  0.2500  0.2500  0.7500  4 Zn 2.96, 4 Ru 2.96
Br  0.2500  0.7500  0.2500  4 Ru 2.96, 4 Zn 2.96
Br  0.2500  0.7500  0.7500  4 Ru 2.96, 4 Zn 2.96
Br  0.7500  0.2500  0.2500  4 Ru 2.96, 4 Zn 2.96
Br  0.7500  0.2500  0.7500  4 Ru 2.96, 4 Zn 2.96
Br  0.7500  0.7500  0.2500  4 Ru 2.96, 4 Zn 2.96
Br  0.7500  0.7500  0.7500  4 Zn 2.96, 4 Ru 2.96


| no. | theoretical density (g cm⁻³) | spin magnetization (μB per formula unit) |
| --- | --- | --- |
| 1 | 4.9 | 1.19 |
| 2 | 7.5 | 0.00 |
| 3 | 8.3 | 0.00 |
| 4 | 7.8 | 0.00 |
| 5 | 8.2 | 0.00 |
| 6 | 9.6 | 0.00 |
| 7 | 12.8 | 0.00 |
| 8 | 9.8 | 0.00 |
| 9 | 4.7 | 2.26 |
| 10 | 8.4 | 0.00 |
| 11 | 4.6 | 1.01 |
| 12 | 6.8 | 2.26 |